Entry 1:
A relaxed WSe3 crystal. Source: the Alexandria database, functional GGA-PBE.

Structure (POSCAR):
```
WSe3
1.0
-2.420 -1.003 -2.035
4.414 -5.353 -2.613
-2.647 -4.898 5.562
W Se
2 6
Direct
0.000 0.468 0.000
0.500 0.532 0.500
0.500 0.206 0.000
0.000 0.794 0.500
0.000 0.332 0.317
0.000 0.332 0.683
0.500 0.668 0.817
0.500 0.668 0.183
```

Computed properties:
As for the polymorph energy (0 for the lowest one): 0.000 eV/atom. For the total magnetization, the calculation gives 0.00 Bohr magnetons per cell. The value obtained for the energy relative to the elements, uncorrected is -0.25 eV/atom.

---

Entry 2:
A relaxed WSe crystal. Source: the Alexandria database, functional GGA-PBE.

Structure (POSCAR):
```
WSe
1.0
-1.021 2.151 4.052
-1.225 -4.193 3.126
2.464 -0.400 2.198
Se W
2 2
Direct
0.140 0.998 0.931
0.776 0.586 0.819
0.381 0.489 0.565
0.535 0.094 0.185
```

Computed properties:
As for the polymorph energy (0 for the lowest one): 0.436 eV/atom. For the total magnetization, the calculation gives 0.00 Bohr magnetons per cell. The value obtained for the energy relative to the elements, uncorrected is 0.27 eV/atom.

---

Entry 3:
A relaxed WSe crystal. Source: the Alexandria database, functional GGA-PBE.

Structure (POSCAR):
```
WSe
1.0
-2.792 3.543 -1.270
2.144 0.083 4.166
5.975 3.581 -3.146
W Se
4 4
Direct
0.333 0.667 0.082
0.667 0.333 0.582
0.667 0.333 0.918
0.333 0.667 0.418
0.000 0.000 0.250
0.000 0.000 0.750
0.333 0.667 0.750
0.667 0.333 0.250
```

Computed properties:
As for the polymorph energy (0 for the lowest one): 1.245 eV/atom. For the total magnetization, the calculation gives 0.00 Bohr magnetons per cell. The value obtained for the energy relative to the elements, uncorrected is 1.08 eV/atom.

---

Entry 4:
A relaxed W3Se crystal. Source: the Alexandria database, functional GGA-PBE.

Structure (POSCAR):
```
W3Se
1.0
-3.585 -3.014 7.084
-5.161 -4.551 4.977
-2.450 -5.586 5.909
Se W
1 3
Direct
0.000 0.000 0.000
0.751 0.751 0.751
0.500 0.500 0.500
0.249 0.249 0.249
```

Computed properties:
As for the polymorph energy (0 for the lowest one): 0.088 eV/atom. For the total magnetization, the calculation gives 0.00 Bohr magnetons per cell. The value obtained for the energy relative to the elements, uncorrected is 0.49 eV/atom.

---

Entry 5:
A relaxed WSe3 crystal. Source: the Alexandria database, functional GGA-PBE.

Structure (POSCAR):
```
WSe3
1.0
4.692 0.150 0.335
-1.738 4.361 0.335
-1.738 -2.653 3.477
Se W
3 1
Direct
0.000 0.000 0.000
0.500 0.000 0.500
0.500 0.500 0.000
0.000 0.500 0.500
```

Computed properties:
As for the polymorph energy (0 for the lowest one): 0.930 eV/atom. For the total magnetization, the calculation gives 2.03 Bohr magnetons per cell. The value obtained for the energy relative to the elements, uncorrected is 0.68 eV/atom.

---

Entry 6:
A relaxed WSe crystal. Source: the Alexandria database, functional GGA-PBE.

Structure (POSCAR):
```
WSe
1.0
-4.900 -0.803 4.187
-5.685 -3.070 0.662
-2.949 -4.546 3.581
Se W
2 2
Direct
0.090 0.090 0.090
0.910 0.910 0.910
0.334 0.334 0.334
0.666 0.666 0.666
```

Computed properties:
As for the polymorph energy (0 for the lowest one): 0.965 eV/atom. For the total magnetization, the calculation gives 0.00 Bohr magnetons per cell. The value obtained for the energy relative to the elements, uncorrected is 0.80 eV/atom.

---

Entry 7:
A relaxed WSe3 crystal. Source: the Alexandria database, functional GGA-PBE.

Structure (POSCAR):
```
WSe3
1.0
4.354 -8.122 0.000
4.354 8.122 0.000
0.000 0.000 3.309
W Se
2 6
Direct
0.438 0.562 0.750
0.562 0.438 0.250
0.945 0.055 0.250
0.055 0.945 0.750
0.405 0.133 0.250
0.595 0.867 0.750
0.867 0.595 0.250
0.133 0.405 0.750
```

Computed properties:
As for the polymorph energy (0 for the lowest one): 0.590 eV/atom. For the total magnetization, the calculation gives 0.00 Bohr magnetons per cell. The value obtained for the energy relative to the elements, uncorrected is 0.34 eV/atom.

---

Entry 8:
A relaxed WSe8 crystal. Source: the Alexandria database, functional GGA-PBE.

Structure (POSCAR):
```
WSe8
1.0
-5.632 5.632 1.976
5.632 -5.632 1.976
5.632 5.632 -1.976
W Se
1 8
Direct
0.000 0.000 0.000
0.363 0.637 0.000
0.637 0.363 0.000
0.000 0.238 0.238
0.637 0.637 0.275
0.238 0.000 0.238
0.363 0.363 0.725
0.000 0.762 0.762
0.762 0.000 0.762
```

Computed properties:
For the total magnetization, the calculation gives 0.00 Bohr magnetons per cell. The value obtained for the energy relative to the elements, uncorrected is 0.38 eV/atom.

---

Entry 9:
A relaxed WSe3 crystal. Source: the Alexandria database, functional GGA-PBE.

Structure (POSCAR):
```
WSe3
1.0
4.751 0.000 0.000
0.000 4.751 0.000
0.000 0.000 3.156
Se W
3 1
Direct
0.000 0.000 0.000
0.500 0.000 0.500
0.500 0.500 0.000
0.000 0.500 0.500
```

Computed properties:
As for the polymorph energy (0 for the lowest one): 1.081 eV/atom. For the total magnetization, the calculation gives 0.00 Bohr magnetons per cell. The value obtained for the energy relative to the elements, uncorrected is 0.83 eV/atom.

---

Entry 10:
A relaxed WSe crystal. Source: the Alexandria database, functional GGA-PBE.

Structure (POSCAR):
```
WSe
1.0
-0.195 4.510 3.259
-4.143 0.777 3.638
4.208 -3.209 -1.734
Se W
2 2
Direct
0.642 0.892 0.250
0.358 0.108 0.750
0.139 0.389 0.250
0.861 0.611 0.750
```

Computed properties:
As for the polymorph energy (0 for the lowest one): 0.705 eV/atom. For the total magnetization, the calculation gives 0.00 Bohr magnetons per cell. The value obtained for the energy relative to the elements, uncorrected is 0.54 eV/atom.

---

Entry 11:
A relaxed WSe crystal. Source: the Alexandria database, functional GGA-PBE.

Structure (POSCAR):
```
WSe
1.0
3.152 0.000 0.000
0.000 3.152 0.000
0.000 0.000 3.152
W Se
1 1
Direct
0.000 0.000 0.000
0.500 0.500 0.500
```

Computed properties:
As for the polymorph energy (0 for the lowest one): 0.679 eV/atom. For the total magnetization, the calculation gives 0.00 Bohr magnetons per cell. The value obtained for the energy relative to the elements, uncorrected is 0.51 eV/atom.

---

Entry 12:
A relaxed WSe crystal. Source: the Alexandria database, functional GGA-PBE.

Structure (POSCAR):
```
WSe
1.0
-5.721 -1.287 0.040
-4.985 -0.801 -2.982
-1.088 -6.561 -1.320
W Se
3 3
Direct
0.350 0.350 0.352
0.078 0.078 0.345
0.763 0.763 0.081
0.995 0.995 0.052
0.643 0.643 0.579
0.338 0.338 0.758
```

Computed properties:
As for the polymorph energy (0 for the lowest one): 0.245 eV/atom. For the total magnetization, the calculation gives 0.00 Bohr magnetons per cell. The value obtained for the energy relative to the elements, uncorrected is 0.08 eV/atom.

---

Entry 13:
A relaxed W3Se crystal. Source: the Alexandria database, functional GGA-PBE.

Structure (POSCAR):
```
W3Se
1.0
4.630 0.000 0.000
0.000 5.299 0.000
0.000 0.000 5.598
W Se
6 2
Direct
0.500 0.000 0.279
0.000 0.500 0.721
0.000 0.737 0.150
0.000 0.263 0.150
0.500 0.237 0.850
0.500 0.763 0.850
0.000 0.000 0.577
0.500 0.500 0.423
```

Computed properties:
As for the polymorph energy (0 for the lowest one): 0.260 eV/atom. For the total magnetization, the calculation gives 0.00 Bohr magnetons per cell. The value obtained for the energy relative to the elements, uncorrected is 0.66 eV/atom.

---

Entry 14:
A relaxed W3Se crystal. Source: the Alexandria database, functional GGA-PBE.

Structure (POSCAR):
```
W3Se
1.0
-0.806 -0.359 2.687
2.622 -0.963 -0.441
3.321 8.086 2.076
Se W
1 3
Direct
0.000 0.000 0.000
0.500 0.500 0.742
0.000 0.000 0.500
0.500 0.500 0.258
```

Computed properties:
As for the polymorph energy (0 for the lowest one): 0.109 eV/atom. For the total magnetization, the calculation gives 0.00 Bohr magnetons per cell. The value obtained for the energy relative to the elements, uncorrected is 0.51 eV/atom.